Record 1
Entry from Alexandria via LeMat-Bulk: a PBEsol-optimized structure of Er3SbO7 (meta-GGA SCAN).

- DOS(E_F): 0.000 states/eV per cell
- Magnetic moment: 0.00 μB per cell
- Uncorrected energy: -268.2 eV per formula unit

Cell lengths 6.343, 6.343, 7.380 Å; angles 90.00, 90.00, 109.46 degrees
Fractional positions:
Er1 0.000 0.468 0.750
Er2 0.000 0.532 0.250
Er3 0.532 0.000 0.750
Er4 0.468 0.000 0.250
Er5 0.500 0.500 0.500
Er6 0.500 0.500 0.000
Sb1 0.000 0.000 0.500
Sb2 0.000 0.000 0.000
O1 0.637 0.363 0.750
O2 0.363 0.637 0.250
O3 0.926 0.074 0.750
O4 0.074 0.926 0.250
O5 0.925 0.674 0.530
O6 0.075 0.326 0.030
O7 0.326 0.075 0.970
O8 0.674 0.925 0.470
O9 0.370 0.630 0.750
O10 0.630 0.370 0.250
O11 0.925 0.674 0.969
O12 0.075 0.326 0.469
O13 0.326 0.075 0.531
O14 0.674 0.925 0.031

Record 2
Entry from Alexandria via LeMat-Bulk: a PBEsol-optimized structure of ErSbO4 (meta-GGA SCAN).

- DOS(E_F): 0.000 states/eV per cell
- Magnetic moment: 0.00 μB per cell
- Uncorrected energy: -128.5 eV per formula unit

Cell lengths 5.284, 7.436, 7.521 Å; angles 98.06, 90.00, 90.00 degrees
Fractional positions:
Er1 0.274 0.388 0.642
Er2 0.726 0.612 0.358
Er3 0.226 0.888 0.642
Er4 0.774 0.112 0.358
Sb1 0.229 0.810 0.163
Sb2 0.771 0.190 0.837
Sb3 0.729 0.690 0.837
Sb4 0.271 0.310 0.163
O1 0.098 0.312 0.928
O2 0.902 0.688 0.072
O3 0.611 0.435 0.830
O4 0.389 0.565 0.170
O5 0.889 0.935 0.830
O6 0.111 0.065 0.170
O7 0.402 0.812 0.928
O8 0.598 0.188 0.072
O9 0.018 0.828 0.388
O10 0.982 0.172 0.612
O11 0.518 0.672 0.612
O12 0.482 0.328 0.388
O13 0.490 0.117 0.673
O14 0.510 0.883 0.327
O15 0.010 0.617 0.673
O16 0.990 0.383 0.327

Record 3
Entry from Alexandria via LeMat-Bulk: a PBEsol-optimized structure of Er2SeO2 (meta-GGA SCAN).

- DOS(E_F): 0.000 states/eV per cell
- Magnetic moment: 0.00 μB per cell
- Uncorrected energy: -150.5 eV per formula unit

Cell lengths 3.753, 3.753, 6.683 Å; angles 90.00, 90.00, 120.00 degrees
Fractional positions:
Se1 0.000 0.000 0.000
O1 0.667 0.333 0.374
O2 0.333 0.667 0.626
Er1 0.667 0.333 0.709
Er2 0.333 0.667 0.291

Record 4
Entry from Alexandria via LeMat-Bulk: a PBEsol-optimized structure of Er2Sn2O7 (meta-GGA SCAN).

- DOS(E_F): 0.000 states/eV per cell
- Magnetic moment: 0.00 μB per cell
- Uncorrected energy: -247.3 eV per formula unit

Cell lengths 7.297, 7.297, 7.297 Å; angles 60.00, 60.00, 60.00 degrees
Fractional positions:
Er1 0.625 0.125 0.625
Er2 0.625 0.625 0.125
Er3 0.625 0.625 0.625
Er4 0.125 0.625 0.625
Sn1 0.125 0.625 0.125
Sn2 0.125 0.125 0.625
Sn3 0.125 0.125 0.125
Sn4 0.625 0.125 0.125
O1 0.750 0.750 0.750
O2 0.500 0.500 0.500
O3 0.466 0.034 0.466
O4 0.216 0.784 0.216
O5 0.466 0.466 0.034
O6 0.466 0.034 0.034
O7 0.034 0.466 0.466
O8 0.034 0.034 0.466
O9 0.034 0.466 0.034
O10 0.216 0.784 0.784
O11 0.784 0.216 0.216
O12 0.784 0.216 0.784
O13 0.216 0.216 0.784
O14 0.784 0.784 0.216

Record 5
Entry from Alexandria via LeMat-Bulk: a PBEsol-optimized structure of ErTa3O9 (meta-GGA SCAN).

- DOS(E_F): 0.000 states/eV per cell
- Magnetic moment: 0.00 μB per cell
- Excess energy over the best structure of this formula in the dataset: 0.0000 eV per atom
- Uncorrected energy: -348.8 eV per formula unit

Cell lengths 5.200, 7.412, 8.206 Å; angles 90.00, 92.50, 90.00 degrees
Fractional positions:
Er1 0.033 0.250 0.434
Er2 0.967 0.750 0.566
Ta1 0.000 0.000 0.000
Ta2 0.000 0.500 0.000
Ta3 0.470 0.008 0.696
Ta4 0.470 0.492 0.696
Ta5 0.530 0.992 0.304
Ta6 0.530 0.508 0.304
O1 0.104 0.250 0.976
O2 0.143 0.932 0.782
O3 0.143 0.568 0.782
O4 0.255 0.955 0.467
O5 0.255 0.545 0.467
O6 0.327 0.250 0.651
O7 0.330 0.942 0.118
O8 0.330 0.558 0.118
O9 0.419 0.250 0.313
O10 0.581 0.750 0.687
O11 0.670 0.058 0.882
O12 0.670 0.442 0.882
O13 0.673 0.750 0.349
O14 0.745 0.045 0.533
O15 0.745 0.455 0.533
O16 0.857 0.068 0.218
O17 0.857 0.432 0.218
O18 0.896 0.750 0.024

Record 6
Entry from Alexandria via LeMat-Bulk: a PBEsol-optimized structure of ErTa3O9 (meta-GGA SCAN).

- DOS(E_F): 0.000 states/eV per cell
- Magnetic moment: 0.00 μB per cell
- Excess energy over the best structure of this formula in the dataset: 0.0147 eV per atom
- Uncorrected energy: -348.6 eV per formula unit

Cell lengths 6.359, 7.545, 12.394 Å; angles 90.00, 90.00, 90.00 degrees
Fractional positions:
Er1 0.060 0.250 0.466
Er2 0.440 0.750 0.966
Er3 0.560 0.250 0.034
Er4 0.940 0.750 0.534
Ta1 0.000 0.000 0.000
Ta2 0.000 0.500 0.000
Ta3 0.194 0.003 0.711
Ta4 0.194 0.497 0.711
Ta5 0.306 0.503 0.211
Ta6 0.306 0.997 0.211
Ta7 0.500 0.000 0.500
Ta8 0.500 0.500 0.500
Ta9 0.694 0.003 0.789
Ta10 0.694 0.497 0.789
Ta11 0.806 0.503 0.289
Ta12 0.806 0.997 0.289
O1 0.008 0.051 0.842
O2 0.008 0.449 0.842
O3 0.076 0.750 0.970
O4 0.115 0.043 0.332
O5 0.115 0.457 0.332
O6 0.146 0.250 0.662
O7 0.198 0.750 0.689
O8 0.201 0.532 0.534
O9 0.201 0.968 0.534
O10 0.299 0.032 0.034
O11 0.299 0.468 0.034
O12 0.302 0.250 0.189
O13 0.354 0.750 0.162
O14 0.385 0.543 0.832
O15 0.385 0.957 0.832
O16 0.424 0.250 0.470
O17 0.492 0.551 0.342
O18 0.492 0.949 0.342
O19 0.508 0.051 0.658
O20 0.508 0.449 0.658
O21 0.576 0.750 0.530
O22 0.615 0.043 0.168
O23 0.615 0.457 0.168
O24 0.646 0.250 0.838
O25 0.698 0.750 0.811
O26 0.701 0.532 0.966
O27 0.701 0.968 0.966
O28 0.799 0.032 0.466
O29 0.799 0.468 0.466
O30 0.802 0.250 0.311
O31 0.854 0.750 0.338
O32 0.885 0.543 0.668
O33 0.885 0.957 0.668
O34 0.924 0.250 0.030
O35 0.992 0.551 0.158
O36 0.992 0.949 0.158

Which ΔE_f (raw) belongs to each record? In order, -318.5 -256.7 -334.1 -273.7 -316.7 -315.3 kJ/mol of atoms.